An optimized crystal structure of LuMoClO4, computed with PBE with a Hubbard U.

## Properties
Total magnetization = 0.00 Bohr magnetons per cell
Electronic total energy = -7.036 eV/atom

Cell lengths 5.9330, 6.5083, 6.9460 Å; angles 73.56, 77.89, 71.06 degrees
With the nearest neighbours (Å) after each atom.
Fractional coordinates of all 14 atoms:
Lu (0.2448, 0.1967, 0.3667)  5 O 2.22-2.36
Lu (0.7552, 0.8033, 0.6333)  5 O 2.22-2.36
Mo (0.3761, 0.3565, 0.7679)  4 O 1.78-1.85
Mo (0.6239, 0.6435, 0.2321)  4 O 1.78-1.85
Cl (0.0053, 0.0314, 0.7233)  2 Lu 2.67-2.71, 1 O 2.97
Cl (0.9947, 0.9686, 0.2767)  2 Lu 2.67-2.71, 1 O 2.97
O (0.0897, 0.5262, 0.6954)  1 Mo 1.79
O (0.3481, 0.2462, 0.0338)  1 Mo 1.78
O (0.4230, 0.4743, 0.2967)  1 Mo 1.78
O (0.4748, 0.1326, 0.6274)  1 Mo 1.85
O (0.5252, 0.8674, 0.3726)  1 Mo 1.85
O (0.5770, 0.5257, 0.7033)  1 Mo 1.78
O (0.6519, 0.7538, 0.9662)  1 Mo 1.78
O (0.9103, 0.4738, 0.3046)  1 Mo 1.79